# 1
A plane-wave DFT calculation with PBE-GGA was carried out for a relaxed structure of AcHoAlGa.

Properties
density of states at the Fermi level = 0.297 states/eV per atom
calculated volume = 26.79 A^3/atom
formation energy from the elements = -0.358 eV per atom

The structure in POSCAR format:
```
AcHoAlGa
1.0
-3.8292 -2.0411 -3.0982
-3.5396 -3.4242 2.0429
-5.0696 1.5007 0.6892
Ho Ac Ga Al
1 1 1 1
Direct
0.0000 0.0000 0.0000 Ho
0.5000 0.5000 0.5000 Ac
0.2500 0.2500 0.2500 Ga
0.7500 0.7500 0.7500 Al
```

=====

# 2
A plane-wave DFT calculation with PBE-GGA was carried out for a relaxed structure of LiCrPb2.

Properties
density of states at the Fermi level = 0.881 states/eV per atom
calculated volume = 24.57 A^3/atom
formation energy from the elements = 0.344 eV per atom

The structure in POSCAR format:
```
LiCrPb2
1.0
-3.0988 -4.1302 -0.4111
1.7324 -4.6845 1.3728
-1.8381 -2.2935 4.2652
Pb Cr Li
2 1 1
Direct
0.0000 0.0000 0.0000 Pb
0.2500 0.2500 0.2500 Pb
0.5000 0.5000 0.5000 Cr
0.7500 0.7500 0.7500 Li
```

=====

# 3
A plane-wave DFT calculation with PBE-GGA was carried out for a relaxed structure of HfSbP2O.

Properties
distance to the lowest polymorph of the same formula = 737 meV/atom
density of states at the Fermi level = 0.407 states/eV per atom
calculated volume = 19.30 A^3/atom

The structure in POSCAR format:
```
HfSbP2O
1.0
4.9791 0.0000 0.0000
0.0000 4.9791 0.0000
0.0000 0.0000 3.8916
Hf O P Sb
1 1 2 1
Direct
0.5000 0.5000 0.5000 Hf
0.0000 0.0000 0.5000 O
0.0000 0.5000 0.0000 P
0.5000 0.0000 0.0000 P
0.0000 0.0000 0.0000 Sb
```

=====

# 4
A plane-wave DFT calculation with PBE-GGA was carried out for a relaxed structure of EuPu2N.

Properties
DFT total energy = -12.226 eV per atom
density of states at the Fermi level = 3.955 states/eV per atom
calculated volume = 25.11 A^3/atom

The structure in POSCAR format:
```
EuPu2N
1.0
-1.1939 -0.4981 -3.3209
-1.4961 -3.1044 -0.9089
-9.0789 2.0228 1.0481
N Pu Eu
1 2 1
Direct
0.0000 0.0000 0.0000 N
0.2836 0.2836 0.1492 Pu
0.7164 0.7164 0.8508 Pu
0.5000 0.5000 0.5000 Eu
```

=====

# 5
A plane-wave DFT calculation with PBE-GGA was carried out for a relaxed structure of CrRhAu2.

Properties
density of states at the Fermi level = 1.394 states/eV per atom
calculated volume = 15.59 A^3/atom
formation energy from the elements = 0.406 eV per atom

The structure in POSCAR format:
```
CrRhAu2
1.0
-2.5027 -1.4654 -3.3761
-3.2930 2.5353 -1.5930
0.3757 1.8672 -4.0226
Au Cr Rh
2 1 1
Direct
0.2500 0.2500 0.2500 Au
0.7500 0.7500 0.7500 Au
0.0000 0.0000 0.0000 Cr
0.5000 0.5000 0.5000 Rh
```

=====

# 6
A plane-wave DFT calculation with PBE-GGA was carried out for a relaxed structure of Cs2ThB2Se6.

Properties
DFT total energy = -4.798 eV per atom
calculated volume = 33.42 A^3/atom

The structure in POSCAR format:
```
Cs2ThB2Se6
1.0
7.2339 0.0000 0.0000
-3.6170 6.2865 -0.2529
0.0000 -3.8783 8.2401
B Cs Se Th
2 2 6 1
Direct
0.9259 0.8519 0.7037 B
0.0741 0.1481 0.2963 B
0.7051 0.4102 0.1786 Cs
0.2949 0.5898 0.8214 Cs
0.2499 0.0361 0.7519 Se
0.7862 0.0361 0.7519 Se
0.7546 0.5092 0.6411 Se
0.2454 0.4908 0.3589 Se
0.2138 0.9639 0.2481 Se
0.7501 0.9639 0.2481 Se
0.5000 0.0000 0.5000 Th
```

=====

# 7
A plane-wave DFT calculation with PBE-GGA was carried out for a relaxed structure of Ac8GeRh2.

Properties
density of states at the Fermi level = 1.422 states/eV per atom
calculated volume = 38.97 A^3/atom
formation energy from the elements = -0.312 eV per atom

The structure in POSCAR format:
```
Ac8GeRh2
1.0
7.0217 -0.1788 -0.1486
0.0078 8.1114 0.9369
0.0078 2.4040 7.8034
Ac Rh Ge
8 2 1
Direct
0.1657 0.4033 0.8602 Ac
0.6692 0.6236 0.6236 Ac
0.3308 0.3764 0.3764 Ac
0.1657 0.8602 0.4033 Ac
0.8343 0.5967 0.1398 Ac
0.6384 0.1275 0.1275 Ac
0.8343 0.1398 0.5967 Ac
0.3616 0.8725 0.8725 Ac
0.9844 0.7670 0.7670 Rh
0.0156 0.2330 0.2330 Rh
0.0000 0.0000 0.0000 Ge
```

=====

# 8
A plane-wave DFT calculation with PBE-GGA was carried out for a relaxed structure of Pu4TcRu2.

Properties
distance to the lowest polymorph of the same formula = 0 meV/atom
density of states at the Fermi level = 3.157 states/eV per atom
calculated volume = 20.94 A^3/atom
formation energy from the elements = 0.022 eV per atom

The structure in POSCAR format:
```
Pu4TcRu2
1.0
7.2480 -0.0039 0.0067
-2.4185 6.8326 -0.0067
-2.4110 -3.4170 5.9199
Pu Ru Tc
8 4 2
Direct
0.1244 0.8856 0.3755 Pu
0.4899 0.1144 0.2387 Pu
0.2601 0.2489 0.8745 Pu
0.6256 0.7511 0.0113 Pu
0.7613 0.2511 0.8756 Pu
0.6245 0.7489 0.5101 Pu
0.9887 0.6144 0.7399 Pu
0.1255 0.3856 0.3744 Pu
0.8750 0.1264 0.5014 Ru
0.4986 0.3736 0.6250 Ru
0.2514 0.6264 0.1250 Ru
0.3750 0.8736 0.7486 Ru
0.7500 0.5000 0.2500 Tc
0.0000 0.0000 0.0000 Tc
```

=====

# 9
A plane-wave DFT calculation with PBE-GGA was carried out for a relaxed structure of Zr7Zn2Hg2.

Properties
density of states at the Fermi level = 1.440 states/eV per atom
calculated volume = 23.13 A^3/atom
formation energy from the elements = 0.246 eV per atom

The structure in POSCAR format:
```
Zr7Zn2Hg2
1.0
-2.1389 -0.2787 5.4933
-4.1851 -6.2273 -1.9460
4.9400 -3.2090 -0.3566
Zr Zn Hg
7 2 2
Direct
0.0000 0.3027 0.5000 Zr
0.5000 0.6973 0.0000 Zr
0.5000 0.2944 0.5000 Zr
0.0000 0.6973 0.5000 Zr
0.5000 0.3027 0.0000 Zr
0.5000 0.7056 0.5000 Zr
0.0000 0.0000 0.0000 Zr
0.1691 0.5000 0.1691 Zn
0.8309 0.5000 0.8309 Zn
0.3109 0.0000 0.6891 Hg
0.6891 0.0000 0.3109 Hg
```

=====

# 10
A plane-wave DFT calculation with PBE-GGA was carried out for a relaxed structure of Na2TaSe4.

Properties
distance to the lowest polymorph of the same formula = 0 meV/atom
density of states at the Fermi level = 0.488 states/eV per atom
calculated volume = 24.54 A^3/atom

The structure in POSCAR format:
```
Na2TaSe4
1.0
3.7080 0.0000 0.0000
0.0000 7.8911 -0.7586
-1.8540 -4.5760 6.3113
Ta Se Na
1 4 2
Direct
0.0000 0.0000 0.0000 Ta
0.0572 0.7649 0.1143 Se
0.3458 0.7590 0.6916 Se
0.9428 0.2351 0.8857 Se
0.6542 0.2410 0.3084 Se
0.6487 0.6200 0.2974 Na
0.3513 0.3800 0.7026 Na
```

=====

# 11
A plane-wave DFT calculation with PBE-GGA was carried out for a relaxed structure of PmDyTlRh.

Properties
distance to the lowest polymorph of the same formula = 0 meV/atom
density of states at the Fermi level = 0.840 states/eV per atom
calculated volume = 24.69 A^3/atom
formation energy from the elements = -0.573 eV per atom

The structure in POSCAR format:
```
PmDyTlRh
1.0
-0.1548 2.0936 2.8493
-0.0723 -2.8533 2.0927
7.8756 0.0744 0.3733
Rh Tl Dy Pm
1 1 1 1
Direct
0.0000 0.0000 0.5581 Rh
0.0000 0.0000 0.0810 Tl
0.5000 0.5000 0.3602 Dy
0.5000 0.5000 0.7854 Pm
```

=====

# 12
A plane-wave DFT calculation with PBE-GGA was carried out for a relaxed structure of LiNd2SnPt6.

Properties
density of states at the Fermi level = 0.358 states/eV per atom
calculated volume = 22.21 A^3/atom
formation energy from the elements = -0.713 eV per atom

The structure in POSCAR format:
```
LiNd2SnPt6
1.0
-4.9569 0.8629 -2.4818
-2.8049 -7.7878 2.9251
-4.5945 0.8072 3.1103
Nd Pt Li Sn
2 6 1 1
Direct
0.2988 0.8977 0.4017 Nd
0.7012 0.1023 0.5983 Nd
0.7566 0.7614 0.4853 Pt
0.2461 0.7613 0.9964 Pt
0.2434 0.2384 0.0037 Pt
0.2434 0.2386 0.5147 Pt
0.7539 0.2387 0.0036 Pt
0.7566 0.7616 0.9963 Pt
0.0000 0.0000 0.0000 Li
0.5000 0.5000 0.0000 Sn
```

=====

# 13
A plane-wave DFT calculation with PBE-GGA was carried out for a relaxed structure of Ti2ZnMo.

Properties
density of states at the Fermi level = 0.940 states/eV per atom
calculated volume = 16.69 A^3/atom
formation energy from the elements = 0.404 eV per atom

The structure in POSCAR format:
```
Ti2ZnMo
1.0
3.7621 0.0000 0.0000
0.0000 3.7621 0.0000
1.8810 1.8810 9.4340
Mo Ti Zn
2 4 2
Direct
0.7500 0.2500 0.5000 Mo
0.0000 0.0000 0.0000 Mo
0.6332 0.1250 0.2500 Ti
0.3750 0.3668 0.7500 Ti
0.8750 0.8832 0.7500 Ti
0.1168 0.6250 0.2500 Ti
0.5000 0.5000 0.0000 Zn
0.2500 0.7500 0.5000 Zn
```

=====

# 14
A plane-wave DFT calculation with PBE-GGA was carried out for a relaxed structure of Bi.

Properties
distance to the lowest polymorph of the same formula = 103 meV/atom
density of states at the Fermi level = 0.541 states/eV per atom
calculated volume = 33.21 A^3/atom
formation energy from the elements = 0.103 eV per atom

The structure in POSCAR format:
```
Bi
1.0
-2.1524 8.4918 -8.8637
2.8589 -8.4047 -8.7463
-3.2769 -0.9728 -0.1363
Bi
16
Direct
0.6175 0.3552 0.0000 Bi
0.3825 0.6448 0.0000 Bi
0.1448 0.1175 0.5000 Bi
0.8509 0.4072 0.5000 Bi
0.9072 0.6491 0.0000 Bi
0.1491 0.5928 0.5000 Bi
0.6491 0.0928 0.0000 Bi
0.8552 0.8825 0.5000 Bi
0.5928 0.8509 0.5000 Bi
0.8825 0.1448 0.5000 Bi
0.0928 0.3509 0.0000 Bi
0.6448 0.6175 0.0000 Bi
0.3509 0.9072 0.0000 Bi
0.3552 0.3825 0.0000 Bi
0.1175 0.8552 0.5000 Bi
0.4072 0.1491 0.5000 Bi
```

=====

# 15
A plane-wave DFT calculation with PBE-GGA was carried out for a relaxed structure of BeCuOs2.

Properties
density of states at the Fermi level = 0.970 states/eV per atom
calculated volume = 12.95 A^3/atom
formation energy from the elements = 0.386 eV per atom

The structure in POSCAR format:
```
BeCuOs2
1.0
2.6411 0.0012 0.0000
-1.2070 2.3492 0.0000
0.0000 0.0000 8.3445
Be Cu Os
1 1 2
Direct
0.0000 0.0000 0.5049 Be
0.5000 0.5000 0.7230 Cu
0.0000 0.0000 0.9980 Os
0.5000 0.5000 0.2741 Os
```

=====

# 16
A plane-wave DFT calculation with PBE-GGA was carried out for a relaxed structure of NaPm2Cd.

Properties
distance to the lowest polymorph of the same formula = 0 meV/atom
density of states at the Fermi level = 1.099 states/eV per atom
calculated volume = 31.26 A^3/atom
formation energy from the elements = -0.010 eV per atom

The structure in POSCAR format:
```
NaPm2Cd
1.0
-1.8584 -1.8628 -2.8588
-2.5325 -1.4286 2.5772
-4.8750 6.6003 -1.1318
Cd Pm Na
1 2 1
Direct
0.5000 0.5000 0.0000 Cd
0.0000 0.0000 0.2164 Pm
0.0000 0.0000 0.7836 Pm
0.5000 0.5000 0.5000 Na
```

=====

# 17
A plane-wave DFT calculation with PBE-GGA was carried out for a relaxed structure of NaTbPt2.

Properties
density of states at the Fermi level = 0.319 states/eV per atom
calculated volume = 19.67 A^3/atom
formation energy from the elements = -0.742 eV per atom

The structure in POSCAR format:
```
NaTbPt2
1.0
3.6069 0.0000 0.0000
0.0000 3.6069 0.0000
0.0000 0.0000 6.0473
Tb Pt Na
1 2 1
Direct
0.5000 0.5000 0.0000 Tb
0.0000 0.0000 0.2519 Pt
0.0000 0.0000 0.7481 Pt
0.5000 0.5000 0.5000 Na
```

=====

# 18
A plane-wave DFT calculation with PBE-GGA was carried out for a relaxed structure of Be3NbS.

Properties
distance to the lowest polymorph of the same formula = 1034 meV/atom
density of states at the Fermi level = 0.858 states/eV per atom
calculated volume = 18.35 A^3/atom

The structure in POSCAR format:
```
Be3NbS
1.0
4.5104 0.0000 0.0000
0.0000 4.5104 0.0000
0.0000 0.0000 4.5104
S Be Nb
1 3 1
Direct
0.5000 0.5000 0.5000 S
0.5000 0.0000 0.0000 Be
0.0000 0.5000 0.0000 Be
0.0000 0.0000 0.5000 Be
0.0000 0.0000 0.0000 Nb
```

=====

# 19
A plane-wave DFT calculation with PBE-GGA was carried out for a relaxed structure of Cd6AgPd12.

Properties
density of states at the Fermi level = 0.585 states/eV per atom
calculated volume = 17.53 A^3/atom
formation energy from the elements = -0.162 eV per atom

The structure in POSCAR format:
```
Cd6AgPd12
1.0
-7.0545 -1.0444 -0.3778
2.5825 -5.3678 -3.9392
1.5281 -2.0792 6.6590
Pd Cd Ag
12 6 1
Direct
0.2604 0.7396 0.9999 Pd
0.7396 0.9999 0.2604 Pd
0.1870 0.5873 0.5870 Pd
0.4127 0.4130 0.8130 Pd
0.0001 0.7396 0.2604 Pd
0.9999 0.2604 0.7396 Pd
0.7396 0.2604 0.0001 Pd
0.4130 0.8130 0.4127 Pd
0.2604 0.0001 0.7396 Pd
0.8130 0.4127 0.4130 Pd
0.5870 0.1870 0.5873 Pd
0.5873 0.5870 0.1870 Pd
0.1648 0.1649 0.4306 Cd
0.5694 0.8352 0.8351 Cd
0.8352 0.8351 0.5694 Cd
0.8351 0.5694 0.8352 Cd
0.4306 0.1648 0.1649 Cd
0.1649 0.4306 0.1648 Cd
0.0000 0.0000 0.0000 Ag
```

=====

# 20
A plane-wave DFT calculation with PBE-GGA was carried out for a relaxed structure of Pr2MgAg2.

Properties
distance to the lowest polymorph of the same formula = 133 meV/atom
density of states at the Fermi level = 0.806 states/eV per atom
calculated volume = 26.88 A^3/atom
formation energy from the elements = -0.106 eV per atom

The structure in POSCAR format:
```
Pr2MgAg2
1.0
5.8621 0.0000 0.0000
0.0000 7.6461 0.0000
-2.9311 -3.8231 5.9976
Mg Pr Ag
2 4 4
Direct
0.2500 0.5000 0.0000 Mg
0.7500 0.5000 0.0000 Mg
0.3038 0.9674 0.6076 Pr
0.1962 0.3598 0.3924 Pr
0.8038 0.6402 0.6076 Pr
0.6962 0.0326 0.3924 Pr
0.0620 0.8795 0.1239 Ag
0.4380 0.7556 0.8761 Ag
0.9380 0.1205 0.8761 Ag
0.5620 0.2444 0.1239 Ag
```